The following is a DFT calculation (PBE) of a geometry-optimized U3Se4 structure.

The density of states at the Fermi level comes out at 40.16 states/eV/cell. The uncorrected formation energy is -1.084 eV/atom.

Lattice parameters (Å, degrees): 7.4985 7.4985 7.4985 109.47 109.47 109.47
With the nearest neighbours (Å) after each atom.
Sites, in units of the cell vectors:
U1 0.1250 0.8750 0.2500  8 Se 2.94-3.06
U2 0.2500 0.1250 0.8750  8 Se 2.94-3.06
U3 0.3750 0.6250 0.7500  8 Se 2.94-3.06
U4 0.6250 0.7500 0.3750  8 Se 2.94-3.06
U5 0.7500 0.3750 0.6250  8 Se 2.94-3.06
U6 0.8750 0.2500 0.1250  8 Se 2.94-3.06
Se1 0.0000 0.1534 0.5000  6 U 2.94-3.06, 3 Se 3.28
Se2 0.0000 0.6534 0.5000  6 U 2.94-3.06, 3 Se 3.28
Se3 0.1534 0.5000 0.0000  6 U 2.94-3.06, 3 Se 3.28
Se4 0.3466 0.3466 0.3466  6 U 2.94-3.06, 3 Se 3.28
Se5 0.5000 0.0000 0.1534  6 U 2.94-3.06, 3 Se 3.28
Se6 0.5000 0.0000 0.6534  6 U 2.94-3.06, 3 Se 3.28
Se7 0.6534 0.5000 0.0000  6 U 2.94-3.06, 3 Se 3.28
Se8 0.8466 0.8466 0.8466  6 U 2.94-3.06, 3 Se 3.28